Record 1
The following is a GGA-PBE calculation of crystalline Tb2Nd3Er6Sc at its relaxed geometry, from the Alexandria database.

```
Tb2Nd3Er6Sc
1.0
3.0696 -5.3145 0.0000
3.0696 5.3145 0.0000
-2.0428 0.0000 11.5192
Tb Nd Er Sc
2 3 6 1
Direct
0.1664 0.8336 0.0000
0.8336 0.1664 0.0000
0.0000 0.0000 0.5000
0.3335 0.6665 0.5000
0.6665 0.3335 0.5000
0.0884 0.4192 0.7556
0.2499 0.2499 0.2446
0.4192 0.0884 0.7556
0.5808 0.9116 0.2444
0.7501 0.7501 0.7554
0.9116 0.5808 0.2444
0.5000 0.5000 0.0000
```

Calculated values
**Formation energy from the elements**: 30 meV per atom
**Crystal system**: monoclinic
**Symmetry**: C2/m

---

Record 2
The following is a GGA-PBE calculation of crystalline TbNd4Er2Sc at its relaxed geometry, from the Alexandria database.

```
TbNd4Er2Sc
1.0
5.0877 0.0000 0.0000
0.0000 5.1064 0.0000
0.0000 0.0000 9.8898
Tb Nd Er Sc
1 4 2 1
Direct
0.0000 0.0000 0.0000
0.0000 0.5000 0.2555
0.0000 0.5000 0.7445
0.5000 0.0000 0.2556
0.5000 0.0000 0.7444
0.0000 0.0000 0.5000
0.5000 0.5000 0.0000
0.5000 0.5000 0.5000
```

Calculated values
**Formation energy from the elements**: 27 meV per atom
**Crystal system**: orthorhombic
**Symmetry**: Pmmm

---

Record 3
The following is a GGA-PBE calculation of crystalline TbNd6Er2Sc at its relaxed geometry, from the Alexandria database.

```
TbNd6Er2Sc
1.0
4.6434 -7.6366 0.0000
4.6434 7.6366 0.0000
-1.0462 0.0000 9.3561
Tb Nd Er Sc
2 12 4 2
Direct
0.0275 0.9725 0.7500
0.9725 0.0275 0.2500
0.0092 0.4425 0.3055
0.1195 0.7686 0.0519
0.2314 0.8805 0.4481
0.2910 0.5153 0.8876
0.4425 0.0092 0.8055
0.4847 0.7090 0.6124
0.5153 0.2910 0.3876
0.5575 0.9908 0.1945
0.7090 0.4847 0.1124
0.7686 0.1195 0.5519
0.8805 0.2314 0.9481
0.9908 0.5575 0.6945
0.2057 0.3024 0.5491
0.3024 0.2057 0.0491
0.6976 0.7943 0.9509
0.7943 0.6976 0.4509
0.4209 0.5791 0.2500
0.5791 0.4209 0.7500
```

Calculated values
**Formation energy from the elements**: 127 meV per atom
**Crystal system**: monoclinic
**Symmetry**: C2/c

---

Record 4
The following is a GGA-PBE calculation of crystalline TbNd6ErSc2 at its relaxed geometry, from the Alexandria database.

```
TbNd6ErSc2
1.0
4.5528 -7.5336 0.0000
4.5528 7.5336 0.0000
-1.3740 0.0000 9.4647
Tb Nd Er Sc
2 12 2 4
Direct
0.0287 0.9713 0.7500
0.9713 0.0287 0.2500
0.0092 0.5599 0.6843
0.1100 0.7628 0.0524
0.2372 0.8900 0.4476
0.2993 0.5058 0.8822
0.4401 0.9908 0.8157
0.4942 0.7007 0.6178
0.5058 0.2993 0.3822
0.5599 0.0092 0.1843
0.7007 0.4942 0.1178
0.7628 0.1100 0.5524
0.8900 0.2372 0.9476
0.9908 0.4401 0.3157
0.4092 0.5908 0.2500
0.5908 0.4092 0.7500
0.1986 0.2956 0.5486
0.2956 0.1986 0.0486
0.7044 0.8014 0.9514
0.8014 0.7044 0.4514
```

Calculated values
**Formation energy from the elements**: 125 meV per atom
**Crystal system**: monoclinic
**Symmetry**: C2/c

---

Record 5
The following is a GGA-PBE calculation of crystalline Tb2Nd5ErSc at its relaxed geometry, from the Alexandria database.

```
Tb2Nd5ErSc
1.0
2.6916 -10.9644 0.0000
2.6916 10.9644 0.0000
0.0000 0.0000 10.2368
Tb Nd Er Sc
4 10 2 2
Direct
0.1152 0.8848 0.5000
0.1157 0.8843 0.9968
0.8843 0.1157 0.4968
0.8848 0.1152 0.0000
0.0002 0.9998 0.2484
0.9998 0.0002 0.7484
0.2782 0.7218 0.4356
0.2788 0.7212 0.0598
0.3727 0.6273 0.7483
0.4999 0.5001 0.4985
0.5001 0.4999 0.9985
0.6273 0.3727 0.2483
0.7212 0.2788 0.5598
0.7218 0.2782 0.9356
0.3982 0.6018 0.2484
0.6018 0.3982 0.7484
0.2122 0.7878 0.7477
0.7878 0.2122 0.2477
```

Calculated values
**Formation energy from the elements**: 123 meV per atom
**Crystal system**: orthorhombic
**Symmetry**: Cmc2_1

---

Record 6
The following is a GGA-PBE calculation of crystalline Nd3ErSc2Te6 at its relaxed geometry, from the Alexandria database.

```
Nd3ErSc2Te6
1.0
9.5661 -2.1545 0.0000
9.5661 2.1545 0.0000
-2.2846 0.0000 8.5294
Nd Er Sc Te
3 1 2 6
Direct
0.0000 0.0000 0.0000
0.3367 0.3367 0.6716
0.6633 0.6633 0.3284
0.0000 0.0000 0.5000
0.3325 0.3325 0.1659
0.6675 0.6675 0.8341
0.1651 0.1651 0.5986
0.1725 0.1725 0.0674
0.4919 0.4919 0.2560
0.5081 0.5081 0.7440
0.8275 0.8275 0.9326
0.8349 0.8349 0.4014
```

Calculated values
**Crystal system**: monoclinic
**Formation energy without anion corrections**: -29.48 kcal/mol of atoms
**Symmetry**: C2/m

---

Record 7
The following is a GGA-PBE calculation of crystalline Nd3Er2ScTe6 at its relaxed geometry, from the Alexandria database.

```
Nd3Er2ScTe6
1.0
9.6292 -2.1647 0.0000
9.6292 2.1647 0.0000
-2.3235 0.0000 8.5833
Nd Er Sc Te
3 2 1 6
Direct
0.0000 0.0000 0.0000
0.3302 0.3302 0.6636
0.6698 0.6698 0.3364
0.3340 0.3340 0.1679
0.6660 0.6660 0.8321
0.0000 0.0000 0.5000
0.1589 0.1589 0.5896
0.1702 0.1702 0.0750
0.4983 0.4983 0.2667
0.5017 0.5017 0.7333
0.8298 0.8298 0.9250
0.8411 0.8411 0.4104
```

Calculated values
**Crystal system**: monoclinic
**Formation energy without anion corrections**: -30.00 kcal/mol of atoms
**Symmetry**: C2/m

---

Record 8
The following is a GGA-PBE calculation of crystalline NdErScTe3 at its relaxed geometry, from the Alexandria database.

```
NdErScTe3
1.0
8.7398 0.0000 0.0000
0.0000 4.2969 0.0000
-2.5062 0.0000 9.6010
Nd Er Sc Te
2 2 2 6
Direct
0.1779 0.2500 0.2381
0.8221 0.7500 0.7619
0.3284 0.7500 0.8319
0.6716 0.2500 0.1681
0.0892 0.2500 0.5934
0.9108 0.7500 0.4066
0.0973 0.2500 0.8865
0.2665 0.7500 0.5002
0.4205 0.7500 0.1577
0.5795 0.2500 0.8423
0.7335 0.2500 0.4998
0.9027 0.7500 0.1135
```

Calculated values
**Crystal system**: monoclinic
**Formation energy without anion corrections**: -27.46 kcal/mol of atoms
**Symmetry**: P2_1/m

---

Record 9
The following is a GGA-PBE calculation of crystalline Nd2Er3ScTe6 at its relaxed geometry, from the Alexandria database.

```
Nd2Er3ScTe6
1.0
9.5274 -2.1608 0.0000
9.5274 2.1608 0.0000
-2.0039 0.0000 8.5382
Nd Er Sc Te
2 3 1 6
Direct
0.1704 0.1704 0.3351
0.8296 0.8296 0.6649
0.1768 0.1768 0.8379
0.5000 0.5000 0.5000
0.8232 0.8232 0.1621
0.5000 0.5000 0.0000
0.0056 0.0056 0.7595
0.3390 0.3390 0.4089
0.3413 0.3413 0.9315
0.6587 0.6587 0.0685
0.6610 0.6610 0.5911
0.9944 0.9944 0.2405
```

Calculated values
**Crystal system**: monoclinic
**Formation energy without anion corrections**: -29.04 kcal/mol of atoms
**Symmetry**: C2/m

---

Record 10
The following is a GGA-PBE calculation of crystalline NdEr2ThSc at its relaxed geometry, from the Alexandria database.

```
NdEr2ThSc
1.0
7.8026 0.0000 0.0000
0.0000 4.9985 0.0000
-0.0861 0.0000 7.8461
Nd Er Th Sc
2 4 2 2
Direct
0.2490 0.2500 0.2458
0.7510 0.7500 0.7542
0.1587 0.7500 0.9465
0.3472 0.7500 0.5496
0.6528 0.2500 0.4504
0.8413 0.2500 0.0535
0.0541 0.2500 0.6501
0.9459 0.7500 0.3499
0.4492 0.2500 0.8492
0.5508 0.7500 0.1508
```

Calculated values
**Formation energy from the elements**: 55 meV per atom
**Crystal system**: monoclinic
**Symmetry**: P2_1/m

---

Record 11
The following is a GGA-PBE calculation of crystalline Nd2Er4ThSc at its relaxed geometry, from the Alexandria database.

```
Nd2Er4ThSc
1.0
5.7853 0.0000 0.0000
0.0000 5.7958 0.0000
0.0000 0.0000 7.4633
Nd Er Th Sc
2 4 1 1
Direct
0.0000 0.0000 0.0000
0.5000 0.5000 0.5000
0.0000 0.5000 0.2442
0.0000 0.5000 0.7558
0.5000 0.0000 0.2435
0.5000 0.0000 0.7565
0.0000 0.0000 0.5000
0.5000 0.5000 0.0000
```

Calculated values
**Formation energy from the elements**: 133 meV per atom
**Crystal system**: orthorhombic
**Symmetry**: Pmmm

---

Record 12
The following is a GGA-PBE calculation of crystalline NdErThSc at its relaxed geometry, from the Alexandria database.

```
NdErThSc
1.0
7.8820 0.0000 0.0000
0.0000 7.8820 0.0000
0.0000 0.0000 7.8820
Nd Er Th Sc
4 4 4 4
Direct
0.0000 0.0000 0.0000
0.0000 0.5000 0.5000
0.5000 0.0000 0.5000
0.5000 0.5000 0.0000
0.2500 0.2500 0.2500
0.2500 0.7500 0.7500
0.7500 0.2500 0.7500
0.7500 0.7500 0.2500
0.0000 0.0000 0.5000
0.0000 0.5000 0.0000
0.5000 0.0000 0.0000
0.5000 0.5000 0.5000
0.2500 0.2500 0.7500
0.2500 0.7500 0.2500
0.7500 0.2500 0.2500
0.7500 0.7500 0.7500
```

Calculated values
**Formation energy from the elements**: 105 meV per atom
**Offset from the most stable computed form**: 25 kJ/mol of formula units
**Crystal system**: cubic
**Symmetry**: F-43m

---

Record 13
The following is a GGA-PBE calculation of crystalline NdErThSc3 at its relaxed geometry, from the Alexandria database.

```
NdErThSc3
1.0
10.1450 0.0000 0.0000
0.0000 3.4466 0.0000
-3.2171 0.0000 9.7256
Nd Er Th Sc
2 2 2 6
Direct
0.2135 0.2500 0.3679
0.7865 0.7500 0.6321
0.1243 0.7500 0.6305
0.8757 0.2500 0.3695
0.3746 0.2500 0.8717
0.6254 0.7500 0.1283
0.0437 0.2500 0.8827
0.2920 0.7500 0.1144
0.4632 0.7500 0.6311
0.5368 0.2500 0.3689
0.7080 0.2500 0.8856
0.9563 0.7500 0.1173
```

Calculated values
**Formation energy from the elements**: 52 meV per atom
**Crystal system**: monoclinic
**Symmetry**: P2_1/m

---

Record 14
The following is a GGA-PBE calculation of crystalline Nd2ErThSc4 at its relaxed geometry, from the Alexandria database.

```
Nd2ErThSc4
1.0
5.0227 0.0000 0.0000
0.0000 5.0227 0.0000
0.0000 0.0000 9.0697
Nd Er Th Sc
2 1 1 4
Direct
0.0000 0.0000 0.0000
0.5000 0.5000 0.5000
0.0000 0.0000 0.5000
0.5000 0.5000 0.0000
0.0000 0.5000 0.2477
0.0000 0.5000 0.7523
0.5000 0.0000 0.2477
0.5000 0.0000 0.7523
```

Calculated values
**Formation energy from the elements**: 52 meV per atom
**Crystal system**: tetragonal
**Symmetry**: P4/mmm

---

Record 15
The following is a GGA-PBE calculation of crystalline NdErThSc at its relaxed geometry, from the Alexandria database.

```
NdErThSc
1.0
3.5399 0.0000 0.0000
-1.7699 3.0656 0.0000
0.0000 0.0000 33.7076
Nd Er Th Sc
3 3 3 3
Direct
0.0000 0.0000 0.0000
0.3333 0.6667 0.6667
0.6667 0.3333 0.3333
0.0000 0.0000 0.7553
0.3333 0.6667 0.4220
0.6667 0.3333 0.0886
0.0000 0.0000 0.1714
0.3333 0.6667 0.8380
0.6667 0.3333 0.5047
0.0000 0.0000 0.5831
0.3333 0.6667 0.2498
0.6667 0.3333 0.9164
```

Calculated values
**Formation energy from the elements**: 40 meV per atom
**Offset from the most stable computed form**: 0 kJ/mol of formula units
**Crystal system**: trigonal
**Symmetry**: R3m

---

Record 16
The following is a GGA-PBE calculation of crystalline Nd3Er6Th2Sc at its relaxed geometry, from the Alexandria database.

```
Nd3Er6Th2Sc
1.0
3.0651 -5.3065 0.0000
3.0651 5.3065 0.0000
-2.0459 0.0000 11.5375
Nd Er Th Sc
3 6 2 1
Direct
0.0000 0.0000 0.0000
0.3338 0.6662 0.0000
0.6662 0.3338 0.0000
0.0855 0.4190 0.2564
0.2470 0.2470 0.7438
0.4190 0.0855 0.2564
0.5810 0.9145 0.7436
0.7530 0.7530 0.2562
0.9145 0.5810 0.7436
0.1666 0.8334 0.5000
0.8334 0.1666 0.5000
0.5000 0.5000 0.5000
```

Calculated values
**Formation energy from the elements**: 23 meV per atom
**Crystal system**: monoclinic
**Symmetry**: C2/m

---

Record 17
The following is a GGA-PBE calculation of crystalline Nd2Er5ThSc at its relaxed geometry, from the Alexandria database.

```
Nd2Er5ThSc
1.0
2.7859 -11.2379 0.0000
2.7859 11.2379 0.0000
0.0000 0.0000 9.2009
Nd Er Th Sc
4 10 2 2
Direct
0.1156 0.8844 0.5000
0.1388 0.8612 0.0642
0.8612 0.1388 0.5642
0.8844 0.1156 0.0000
0.0018 0.9982 0.7747
0.2663 0.7337 0.4375
0.2973 0.7027 0.0644
0.3867 0.6133 0.7407
0.4792 0.5208 0.0291
0.5208 0.4792 0.5291
0.6133 0.3867 0.2407
0.7027 0.2973 0.5644
0.7337 0.2663 0.9375
0.9982 0.0018 0.2747
0.3982 0.6018 0.3295
0.6018 0.3982 0.8295
0.2159 0.7841 0.7634
0.7841 0.2159 0.2634
```

Calculated values
**Formation energy from the elements**: 171 meV per atom
**Crystal system**: orthorhombic
**Symmetry**: Cmc2_1

---

Record 18
The following is a GGA-PBE calculation of crystalline NdErScTl at its relaxed geometry, from the Alexandria database.

```
NdErScTl
1.0
7.6582 0.0000 0.0000
0.0000 7.6582 0.0000
0.0000 0.0000 7.6582
Nd Er Sc Tl
4 4 4 4
Direct
0.0000 0.0000 0.0000
0.0000 0.5000 0.5000
0.5000 0.0000 0.5000
0.5000 0.5000 0.0000
0.0000 0.0000 0.5000
0.0000 0.5000 0.0000
0.5000 0.0000 0.0000
0.5000 0.5000 0.5000
0.2500 0.2500 0.7500
0.2500 0.7500 0.2500
0.7500 0.2500 0.2500
0.7500 0.7500 0.7500
0.2500 0.2500 0.2500
0.2500 0.7500 0.7500
0.7500 0.2500 0.7500
0.7500 0.7500 0.2500
```

Calculated values
**Formation energy from the elements**: -60 meV per atom
**Offset from the most stable computed form**: 42 kJ/mol of formula units
**Crystal system**: cubic
**Symmetry**: F-43m

---

Record 19
The following is a GGA-PBE calculation of crystalline NdErSc2Tl4 at its relaxed geometry, from the Alexandria database.

```
NdErSc2Tl4
1.0
2.6352 1.5214 8.6373
-2.6352 1.5214 8.6373
0.0000 -3.0428 8.6373
Nd Er Sc Tl
1 1 2 4
Direct
0.0000 0.0000 0.0000
0.5000 0.5000 0.5000
0.2496 0.2496 0.2496
0.7504 0.7504 0.7504
0.1271 0.1271 0.1271
0.3773 0.3773 0.3773
0.6227 0.6227 0.6227
0.8729 0.8729 0.8729
```

Calculated values
**Formation energy from the elements**: -289 meV per atom
**Crystal system**: trigonal
**Symmetry**: R-3m

---

Record 20
The following is a GGA-PBE calculation of crystalline Nd2ErScTl2 at its relaxed geometry, from the Alexandria database.

```
Nd2ErScTl2
1.0
5.0003 0.0000 0.0000
0.0000 10.0065 0.0000
0.0000 0.0000 6.9139
Nd Er Sc Tl
4 2 2 4
Direct
0.0000 0.0470 0.0000
0.0000 0.9530 0.5000
0.5000 0.1889 0.2741
0.5000 0.8111 0.7741
0.5000 0.4566 0.8989
0.5000 0.5434 0.3989
0.0000 0.3131 0.6093
0.0000 0.6869 0.1093
0.0000 0.3873 0.1690
0.0000 0.6127 0.6690
0.5000 0.1519 0.7369
0.5000 0.8481 0.2369
```

Calculated values
**Formation energy from the elements**: -252 meV per atom
**Crystal system**: orthorhombic
**Symmetry**: Pmc2_1

---

Number 1: E_tot -4.74 eV/atom. Number 2: E_tot -4.87 eV/atom. Number 3: E_tot -4.74 eV/atom. Number 4: E_tot -4.92 eV/atom. Number 5: E_tot -4.77 eV/atom. Number 6: E_tot -5.48 eV/atom. Number 7: E_tot -5.35 eV/atom. Number 8: E_tot -5.37 eV/atom. Number 9: E_tot -5.29 eV/atom. Number 10: E_tot -5.47 eV/atom. Number 11: E_tot -5.06 eV/atom. Number 12: E_tot -5.67 eV/atom. Number 13: E_tot -5.91 eV/atom. Number 14: E_tot -5.80 eV/atom. Number 15: E_tot -5.73 eV/atom. Number 16: E_tot -5.21 eV/atom. Number 17: E_tot -4.95 eV/atom. Number 18: E_tot -4.57 eV/atom. Number 19: E_tot -4.22 eV/atom. Number 20: E_tot -4.45 eV/atom.